# HgSeN2O | the Alexandria database | GGA-PBE | relaxed
data_HgSeN2O
_symmetry_space_group_name_H-M 'P 4/m m m'
_symmetry_Int_Tables_number 123
_symmetry_space_group_name_Hall '-P 4 2'
_cell_length_a 4.120
_cell_length_b 4.120
_cell_length_c 5.990
_cell_angle_alpha 90.00
_cell_angle_beta 90.00
_cell_angle_gamma 90.00
loop_
_atom_site_label
_atom_site_fract_x
_atom_site_fract_y
_atom_site_fract_z
Hg1 0.000 0.000 0.000
Se1 0.000 0.000 0.500
N1 0.000 0.500 0.000
O1 0.500 0.500 0.500
# - Total energy: -2.67 eV per atom
# - Density of states at the Fermi level: 3.3 states/eV/f.u.
# - Uncorrected formation energy: 2.41 eV/atom


# TiSi2I | the Alexandria database | GGA-PBE | relaxed
data_TiSi2I
_symmetry_space_group_name_H-M 'I -4 2 d'
_symmetry_Int_Tables_number 122
_symmetry_space_group_name_Hall 'I -4 2bw'
_cell_length_a 4.691
_cell_length_b 4.691
_cell_length_c 18.098
_cell_angle_alpha 90.00
_cell_angle_beta 90.00
_cell_angle_gamma 90.00
loop_
_atom_site_label
_atom_site_fract_x
_atom_site_fract_y
_atom_site_fract_z
Ti1 0.000 0.000 0.000
Si1 0.016 0.250 0.125
I1 0.000 0.000 0.500
# - Total energy: -4.60 eV per atom
# - Energy above the lowest structure with this stoichiometry: 0.0000 eV/atom
# - Density of states at the Fermi level: 2.7 states/eV/f.u.
# - Uncorrected formation energy: 0.47 eV/atom


# TcF | the Alexandria database | GGA-PBE | relaxed
data_TcF
_symmetry_space_group_name_H-M 'P 42/m n m'
_symmetry_Int_Tables_number 136
_symmetry_space_group_name_Hall '-P 4n 2n'
_cell_length_a 7.291
_cell_length_b 7.291
_cell_length_c 2.703
_cell_angle_alpha 90.00
_cell_angle_beta 90.00
_cell_angle_gamma 90.00
loop_
_atom_site_label
_atom_site_fract_x
_atom_site_fract_y
_atom_site_fract_z
Tc1 0.100 0.100 0.000
F1 0.214 0.786 0.000
# - Total energy: -6.36 eV per atom
# - Energy above the lowest structure with this stoichiometry: 0.7974 eV/atom
# - Density of states at the Fermi level: 0.9 states/eV/f.u.
# - Uncorrected formation energy: -0.24 eV/atom


# Y2BeBW | the Alexandria database | GGA-PBE | relaxed
data_Y2BeBW
_symmetry_space_group_name_H-M 'P 4/m m m'
_symmetry_Int_Tables_number 123
_symmetry_space_group_name_Hall '-P 4 2'
_cell_length_a 4.954
_cell_length_b 4.954
_cell_length_c 4.240
_cell_angle_alpha 90.00
_cell_angle_beta 90.00
_cell_angle_gamma 90.00
loop_
_atom_site_label
_atom_site_fract_x
_atom_site_fract_y
_atom_site_fract_z
Y1 0.000 0.500 0.000
Be1 0.000 0.000 0.000
B1 0.500 0.500 0.500
W1 0.000 0.000 0.500
# - Total energy: -6.15 eV per atom
# - Density of states at the Fermi level: 3.4 states/eV/f.u.
# - Formation energy: 1110.5 meV/atom


# V2InSiP | the Alexandria database | GGA-PBE | relaxed
data_V2InSiP
_symmetry_space_group_name_H-M 'P 4/m m m'
_symmetry_Int_Tables_number 123
_symmetry_space_group_name_Hall '-P 4 2'
_cell_length_a 4.658
_cell_length_b 4.658
_cell_length_c 4.900
_cell_angle_alpha 90.00
_cell_angle_beta 90.00
_cell_angle_gamma 90.00
loop_
_atom_site_label
_atom_site_fract_x
_atom_site_fract_y
_atom_site_fract_z
V1 0.000 0.500 0.000
In1 0.000 0.000 0.500
Si1 0.000 0.000 0.000
P1 0.500 0.500 0.500
# - Total energy: -5.45 eV per atom
# - Density of states at the Fermi level: 4.3 states/eV/f.u.
# - Uncorrected formation energy: 0.92 eV/atom


# TbPr4Tm10 | the Alexandria database | GGA-PBE | relaxed
data_TbPr4Tm10
_symmetry_space_group_name_H-M 'I 4/m m m'
_symmetry_Int_Tables_number 139
_symmetry_space_group_name_Hall '-I 4 2'
_cell_length_a 11.216
_cell_length_b 11.216
_cell_length_c 7.955
_cell_angle_alpha 90.00
_cell_angle_beta 90.00
_cell_angle_gamma 90.00
loop_
_atom_site_label
_atom_site_fract_x
_atom_site_fract_y
_atom_site_fract_z
Tb1 0.000 0.000 0.000
Pr1 0.227 0.227 0.000
Tm1 0.000 0.208 0.295
Tm2 0.000 0.500 0.250
# - Total energy: -4.29 eV per atom
# - Density of states at the Fermi level: 20.1 states/eV/f.u.
# - Formation energy: 277.8 meV/atom


- Number 3 is which compound?
  TcF